No. 1
ZnCr4 | PBE | relaxed

Results
excess energy over the best structure of this formula in the dataset: 0 meV per atom
E_form: 6.09 kcal/mol of atoms

Unit cell a=4.364 b=4.364 c=4.364 alpha=102.66 beta=102.66 gamma=124.18
Fractional positions:
Zn1 0.000 0.000 0.000
Cr1 0.207 0.418 0.625
Cr2 0.418 0.793 0.212
Cr3 0.582 0.207 0.788
Cr4 0.793 0.582 0.375

No. 2
Zn4Cr5 | PBE | relaxed

Results
E_form: 4.96 kcal/mol of atoms

Unit cell a=6.178 b=6.178 c=6.178 alpha=93.75 beta=93.75 gamma=150.37
Fractional positions:
Zn1 0.000 0.329 0.329
Zn2 0.000 0.671 0.671
Zn3 0.329 0.000 0.329
Zn4 0.671 0.000 0.671
Cr1 0.000 0.000 0.000
Cr2 0.329 0.329 0.659
Cr3 0.329 0.671 0.000
Cr4 0.671 0.329 0.000
Cr5 0.671 0.671 0.341

No. 3
Zn5Cr3 | PBE | relaxed

Results
E_form: 9.23 kcal/mol of atoms

Unit cell a=7.683 b=7.683 c=4.908 alpha=90.00 beta=90.00 gamma=120.00
Fractional positions:
Zn1 0.000 0.234 0.250
Zn2 0.000 0.766 0.750
Zn3 0.234 0.000 0.250
Zn4 0.234 0.234 0.750
Zn5 0.333 0.667 0.000
Zn6 0.333 0.667 0.500
Zn7 0.667 0.333 0.000
Zn8 0.667 0.333 0.500
Zn9 0.766 0.000 0.750
Zn10 0.766 0.766 0.250
Cr1 0.000 0.394 0.750
Cr2 0.000 0.606 0.250
Cr3 0.394 0.000 0.750
Cr4 0.394 0.394 0.250
Cr5 0.606 0.000 0.250
Cr6 0.606 0.606 0.750

No. 4
Zn3Cr | PBE | relaxed

Results
E_form: 2.57 kcal/mol of atoms

Unit cell a=3.772 b=3.772 c=3.772 alpha=90.00 beta=90.00 gamma=90.00
Fractional positions:
Zn1 0.000 0.000 0.500
Zn2 0.000 0.500 0.000
Zn3 0.500 0.000 0.000
Cr1 0.500 0.500 0.500

No. 5
Zn3Cr | PBE | relaxed

Results
E_form: 3.52 kcal/mol of atoms

Unit cell a=5.179 b=5.179 c=5.179 alpha=151.27 beta=63.53 gamma=124.67
Fractional positions:
Zn1 0.000 0.000 0.000
Zn2 0.437 0.684 0.753
Zn3 0.930 0.684 0.247
Cr1 0.494 0.994 0.500

No. 6
ZnCr3 | PBE | relaxed

Results
E_form: 7.86 kcal/mol of atoms

Unit cell a=8.955 b=8.955 c=8.955 alpha=16.31 beta=16.31 gamma=16.31
Fractional positions:
Zn1 0.000 0.000 0.000
Cr1 0.248 0.248 0.248
Cr2 0.500 0.500 0.500
Cr3 0.752 0.752 0.752

No. 7
Zn2Cr | PBE | relaxed

Results
E_form: 4.06 kcal/mol of atoms

Unit cell a=6.812 b=6.812 c=4.363 alpha=90.00 beta=90.00 gamma=154.30
Fractional positions:
Zn1 0.064 0.936 0.750
Zn2 0.270 0.730 0.250
Zn3 0.730 0.270 0.750
Zn4 0.936 0.064 0.250
Cr1 0.400 0.600 0.750
Cr2 0.600 0.400 0.250

No. 8
ZnCr3 | PBE | relaxed

Results
E_form: 2.63 kcal/mol of atoms

Unit cell a=2.478 b=2.478 c=8.319 alpha=90.00 beta=90.00 gamma=108.02
Fractional positions:
Zn1 0.000 0.000 0.000
Cr1 0.000 0.000 0.500
Cr2 0.500 0.500 0.263
Cr3 0.500 0.500 0.737

No. 9
Zn3Cr | PBE | relaxed

Results
E_form: 5.80 kcal/mol of atoms

Unit cell a=5.000 b=5.000 c=5.000 alpha=90.00 beta=90.00 gamma=90.00
Fractional positions:
Zn1 0.000 0.250 0.500
Zn2 0.000 0.750 0.500
Zn3 0.250 0.500 0.000
Zn4 0.500 0.000 0.250
Zn5 0.500 0.000 0.750
Zn6 0.750 0.500 0.000
Cr1 0.000 0.000 0.000
Cr2 0.500 0.500 0.500

No. 10
Zn5Cr | PBE | relaxed

Results
E_form: 2.39 kcal/mol of atoms

Unit cell a=5.264 b=5.264 c=6.457 alpha=105.26 beta=105.26 gamma=31.22
Fractional positions:
Zn1 0.000 0.000 0.000
Zn2 0.053 0.053 0.610
Zn3 0.386 0.386 0.280
Zn4 0.667 0.667 0.335
Zn5 0.724 0.724 0.937
Cr1 0.335 0.335 0.670

No. 11
ZnCr3 | PBE | relaxed

Results
E_form: 5.22 kcal/mol of atoms

Unit cell a=5.209 b=5.209 c=4.198 alpha=90.00 beta=90.00 gamma=120.00
Fractional positions:
Zn1 0.333 0.667 0.250
Zn2 0.667 0.333 0.750
Cr1 0.153 0.306 0.750
Cr2 0.153 0.847 0.750
Cr3 0.306 0.153 0.250
Cr4 0.694 0.847 0.750
Cr5 0.847 0.153 0.250
Cr6 0.847 0.694 0.250

No. 12
Zn2Cr | PBE | relaxed

Results
E_form: 8.53 kcal/mol of atoms

Unit cell a=5.063 b=5.063 c=5.063 alpha=100.54 beta=100.54 gamma=129.35
Fractional positions:
Zn1 0.169 0.669 0.839
Zn2 0.331 0.169 0.500
Zn3 0.669 0.831 0.500
Zn4 0.831 0.331 0.161
Cr1 0.250 0.250 0.000
Cr2 0.750 0.750 0.000